# 1
{
  "formula": "NaSrN",
  "functional": "PBE",
  "state": "relaxed",
  "cell": [[3.344, -2.377, 0.000], [3.344, 2.377, 0.000], [-0.528, 0.000, 11.591]],
  "species": ["Na", "Na", "Sr", "Sr", "N", "N"],
  "fractional_positions": [[0.243, 0.243, 0.108], [0.757, 0.757, 0.892], [0.200, 0.200, 0.621], [0.800, 0.800, 0.379], [0.360, 0.640, 0.500], [0.640, 0.360, 0.500]]
}

# 2
{
  "formula": "NaSrN",
  "functional": "PBE",
  "state": "relaxed",
  "cell": [[3.994, 0.000, 0.000], [-1.997, 3.459, 0.000], [0.000, 0.000, 10.131]],
  "species": ["Na", "Na", "Sr", "Sr", "N", "N"],
  "fractional_positions": [[0.333, 0.667, 0.000], [0.667, 0.333, 0.500], [0.000, 0.000, 0.290], [0.000, 0.000, 0.790], [0.333, 0.667, 0.387], [0.667, 0.333, 0.887]]
}

# 3
{
  "formula": "NaSr4N2",
  "functional": "PBE",
  "state": "relaxed",
  "relative_energy_mev_per_atom": 130,
  "cell": [[2.020, -6.847, 0.000], [2.020, 6.847, 0.000], [0.000, 0.000, 14.338]],
  "species": ["Na", "Na", "Sr", "Sr", "Sr", "Sr", "Sr", "Sr", "Sr", "Sr", "N", "N", "N", "N"],
  "fractional_positions": [[0.118, 0.882, 0.750], [0.882, 0.118, 0.250], [0.000, 0.000, 0.000], [0.000, 0.000, 0.500], [0.249, 0.751, 0.091], [0.249, 0.751, 0.409], [0.405, 0.595, 0.750], [0.595, 0.405, 0.250], [0.751, 0.249, 0.591], [0.751, 0.249, 0.909], [0.361, 0.639, 0.563], [0.361, 0.639, 0.937], [0.639, 0.361, 0.063], [0.639, 0.361, 0.437]]
}

# 4
{
  "formula": "NaSrN",
  "functional": "PBE",
  "state": "relaxed",
  "cell": [[9.041, 0.000, 0.000], [0.000, 4.268, 0.000], [0.000, 0.000, 6.214]],
  "species": ["Na", "Na", "Na", "Na", "Sr", "Sr", "Sr", "Sr", "N", "N", "N", "N"],
  "fractional_positions": [[0.087, 0.250, 0.044], [0.413, 0.750, 0.544], [0.587, 0.250, 0.456], [0.913, 0.750, 0.956], [0.147, 0.250, 0.528], [0.353, 0.750, 0.028], [0.647, 0.250, 0.972], [0.853, 0.750, 0.472], [0.118, 0.750, 0.276], [0.382, 0.250, 0.776], [0.618, 0.750, 0.224], [0.882, 0.250, 0.724]]
}

# 5
{
  "formula": "NaSr2N",
  "functional": "PBE",
  "state": "relaxed",
  "cell": [[-3.865, 3.865, 4.947], [3.865, -3.865, 4.947], [3.865, 3.865, -4.947]],
  "species": ["Na", "Na", "Sr", "Sr", "Sr", "Sr", "N", "N"],
  "fractional_positions": [[0.000, 0.000, 0.000], [0.750, 0.250, 0.500], [0.265, 0.625, 0.140], [0.375, 0.515, 0.640], [0.485, 0.125, 0.860], [0.875, 0.735, 0.360], [0.250, 0.750, 0.500], [0.500, 0.500, 0.000]]
}

# 6
{
  "formula": "NaSrTa4N8",
  "functional": "PBE",
  "state": "relaxed",
  "cell": [[3.195, 1.845, 5.478], [-3.195, 1.845, 5.478], [0.000, -3.689, 5.478]],
  "species": ["Na", "Sr", "Ta", "Ta", "Ta", "Ta", "N", "N", "N", "N", "N", "N", "N", "N"],
  "fractional_positions": [[0.000, 0.000, 0.000], [0.623, 0.623, 0.623], [0.375, 0.375, 0.375], [0.514, 0.991, 0.991], [0.991, 0.514, 0.991], [0.991, 0.991, 0.514], [0.181, 0.749, 0.749], [0.240, 0.240, 0.240], [0.261, 0.261, 0.747], [0.261, 0.747, 0.261], [0.747, 0.261, 0.261], [0.749, 0.181, 0.749], [0.749, 0.749, 0.181], [0.764, 0.764, 0.764]]
}

# 7
{
  "formula": "NaSrTaN3",
  "functional": "PBE",
  "state": "relaxed",
  "cell": [[2.910, -5.695, 0.000], [2.910, 5.695, 0.000], [-1.308, 0.000, 5.546]],
  "species": ["Na", "Na", "Sr", "Sr", "Ta", "Ta", "N", "N", "N", "N", "N", "N"],
  "fractional_positions": [[0.074, 0.926, 0.750], [0.926, 0.074, 0.250], [0.236, 0.764, 0.250], [0.764, 0.236, 0.750], [0.457, 0.543, 0.750], [0.543, 0.457, 0.250], [0.230, 0.348, 0.004], [0.283, 0.717, 0.750], [0.348, 0.230, 0.504], [0.652, 0.770, 0.496], [0.717, 0.283, 0.250], [0.770, 0.652, 0.996]]
}

# 8
{
  "formula": "Na2SrTc2N4",
  "functional": "PBE",
  "state": "relaxed",
  "cell": [[5.967, -1.681, 0.000], [5.967, 1.681, 0.000], [-5.023, 0.000, 7.352]],
  "species": ["Na", "Na", "Sr", "Tc", "Tc", "N", "N", "N", "N"],
  "fractional_positions": [[0.140, 0.140, 0.228], [0.860, 0.860, 0.772], [0.000, 0.000, 0.500], [0.346, 0.346, 0.117], [0.654, 0.654, 0.883], [0.234, 0.234, 0.834], [0.476, 0.476, 0.706], [0.524, 0.524, 0.294], [0.766, 0.766, 0.166]]
}

# 9
{
  "formula": "NaSr2Tc2N4",
  "functional": "PBE",
  "state": "relaxed",
  "cell": [[6.774, -1.717, 0.000], [6.774, 1.717, 0.000], [-2.431, 0.000, 5.835]],
  "species": ["Na", "Sr", "Sr", "Tc", "Tc", "N", "N", "N", "N"],
  "fractional_positions": [[0.000, 0.000, 0.000], [0.125, 0.125, 0.505], [0.875, 0.875, 0.495], [0.322, 0.322, 0.026], [0.678, 0.678, 0.974], [0.225, 0.225, 0.205], [0.461, 0.461, 0.239], [0.539, 0.539, 0.761], [0.775, 0.775, 0.795]]
}

# 10
{
  "formula": "NaSr2TcN4",
  "functional": "PBE",
  "state": "relaxed",
  "cell": [[7.676, 0.000, 0.000], [0.000, 6.030, 0.000], [0.000, 0.000, 6.005]],
  "species": ["Na", "Na", "Sr", "Sr", "Sr", "Sr", "Tc", "Tc", "N", "N", "N", "N", "N", "N", "N", "N"],
  "fractional_positions": [[0.000, 0.229, 0.000], [0.500, 0.771, 0.500], [0.245, 0.710, 0.015], [0.255, 0.290, 0.515], [0.745, 0.290, 0.515], [0.755, 0.710, 0.015], [0.000, 0.726, 0.479], [0.500, 0.274, 0.979], [0.000, 0.508, 0.266], [0.000, 0.573, 0.748], [0.198, 0.884, 0.435], [0.302, 0.116, 0.935], [0.500, 0.427, 0.248], [0.500, 0.492, 0.766], [0.698, 0.116, 0.935], [0.802, 0.884, 0.435]]
}

# 11
{
  "formula": "NaSr2TcN",
  "functional": "PBE",
  "state": "relaxed",
  "cell": [[5.604, 0.000, 0.000], [0.000, 5.604, 0.000], [0.000, 0.000, 3.914]],
  "species": ["Na", "Sr", "Sr", "Tc", "N"],
  "fractional_positions": [[0.000, 0.000, 0.000], [0.000, 0.500, 0.500], [0.500, 0.000, 0.500], [0.500, 0.500, 0.000], [0.500, 0.500, 0.500]]
}

# 12
{
  "formula": "NaSrTe2N",
  "functional": "PBE",
  "state": "relaxed",
  "relative_energy_mev_per_atom": 62,
  "cell": [[6.359, 0.000, 0.000], [0.000, 6.359, 0.000], [0.000, 0.000, 4.956]],
  "species": ["Na", "Sr", "Te", "Te", "N"],
  "fractional_positions": [[0.000, 0.000, 0.000], [0.500, 0.500, 0.500], [0.000, 0.500, 0.500], [0.500, 0.000, 0.500], [0.500, 0.500, 0.000]]
}

| no. | calculated total energy (eV/atom) |
| --- | --- |
| 1 | -4.01 |
| 2 | -3.87 |
| 3 | -3.79 |
| 4 | -3.96 |
| 5 | -3.46 |
| 6 | -9.10 |
| 7 | -7.32 |
| 8 | -6.74 |
| 9 | -6.85 |
| 10 | -6.63 |
| 11 | -4.77 |
| 12 | -3.20 |